(1)
Tl12SnAu7 | PBE | relaxed

abc: 6.2185 10.2691 10.2691
angles: 116.03 101.65 101.65
Fractional positions:
Au 0.3822 0.2625 0.2399
Au 0.5000 0.0000 0.0000
Au 0.1198 0.9774 0.7375
Au 0.1423 0.7601 0.0226
Au 0.6178 0.7375 0.7601
Au 0.8577 0.2399 0.9774
Au 0.8802 0.0226 0.2625
Tl 0.5647 0.9745 0.6619
Tl 0.5903 0.6874 0.0255
Tl 0.4353 0.0255 0.3381
Tl 0.0971 0.6619 0.6874
Tl 0.9796 0.8204 0.3913
Tl 0.4097 0.3126 0.9745
Tl 0.1592 0.5709 0.1796
Tl 0.5884 0.6087 0.4291
Tl 0.4116 0.3913 0.5709
Tl 0.9029 0.3381 0.3126
Tl 0.0204 0.1796 0.6087
Tl 0.8408 0.4291 0.8204
Sn 0.0000 0.0000 0.0000

Summary:
calculated density: 12.04 g cm⁻³
final energy: -55.462 eV per cell
formation enthalpy at 0 K: -0.01 eV per atom
space group: R-3 (148)

---

(2)
Ti4PdPb | PBE | relaxed

abc: 3.3416 5.4192 6.5202
angles: 72.84 90.00 72.04
Fractional positions:
Ti 0.8264 0.8437 0.1828
Ti 0.1649 0.1668 0.3551
Ti 0.8362 0.8241 0.6486
Ti 0.1747 0.1471 0.8209
Pb 0.5006 0.4954 0.0018
Pd 0.5006 0.4954 0.5019

Summary:
calculated density: 7.85 g cm⁻³
final energy: -41.690 eV per cell
formation enthalpy at 0 K: -0.20 eV per atom
space group: C2/m (12)

---

(3)
Cs2PtI2 | PBE | relaxed

abc: 10.1375 10.1375 4.9576
angles: 90.00 90.00 90.00
Fractional positions:
I 0.6568 0.8432 0.5000
I 0.1568 0.6568 0.5000
I 0.3432 0.1568 0.5000
I 0.8432 0.3432 0.5000
Cs 0.6468 0.1468 0.0000
Cs 0.1468 0.3532 0.0000
Cs 0.8532 0.6468 0.0000
Cs 0.3532 0.8532 0.0000
Pt 0.0000 0.0000 0.0000
Pt 0.5000 0.5000 0.0000

Summary:
formation energy from raw total energies: -0.194 eV/atom
calculated density: 4.66 g cm⁻³
final energy: -23.638 eV per cell
space group: P4/mbm (127)

---

(4)
CePuNi2 | PBE | relaxed

abc: 3.4007 3.4007 6.6528
angles: 90.00 90.00 90.00
Fractional positions:
Pu 0.5000 0.5000 0.5000
Ce 0.5000 0.5000 0.0000
Ni 0.0000 0.0000 0.2390
Ni 0.0000 0.0000 0.7610

Summary:
calculated density: 10.82 g cm⁻³
final energy: -32.428 eV per cell
formation enthalpy at 0 K: -0.15 eV per atom
space group: P4/mmm (123)

---

(5)
InAsBr | PBE | relaxed

abc: 6.4954 6.4954 6.4954
angles: 143.97 143.97 51.87
Fractional positions:
As 0.1042 0.1042 0.0000
Br 0.3253 0.3253 0.0000
In 0.5705 0.5705 0.0000

Summary:
formation energy from raw total energies: -0.076 eV/atom
calculated density: 4.75 g cm⁻³
final energy: -9.290 eV per cell
space group: I4mm (107)

---

(6)
LaTb2NdBi4 | PBE | relaxed

abc: 4.5832 7.9178 7.9317
angles: 70.50 90.00 90.00
Fractional positions:
Tb 0.5000 0.0000 0.5000
Tb 0.0000 0.0000 0.0000
Bi 0.0000 0.2411 0.2511
Bi 0.0000 0.7589 0.7489
Bi 0.5000 0.2396 0.7553
Bi 0.5000 0.7604 0.2447
La 0.0000 0.5000 0.5000
Nd 0.5000 0.5000 0.0000

Summary:
calculated density: 8.79 g cm⁻³
final energy: -41.989 eV per cell
formation enthalpy at 0 K: -0.94 eV per atom
space group: P2/m (10)

---

(7)
Pr2Ge4Ir3Au | PBE | relaxed

abc: 4.3684 4.3684 10.1717
angles: 90.00 90.00 90.00
Fractional positions:
Au 0.5000 0.5000 0.5000
Ge 0.0000 0.0000 0.0000
Ge 0.5000 0.5000 0.0000
Ge 0.5000 0.0000 0.6388
Ge 0.0000 0.5000 0.3612
Pr 0.0000 0.5000 0.7611
Pr 0.5000 0.0000 0.2389
Ir 0.0000 0.0000 0.5000
Ir 0.5000 0.0000 0.8783
Ir 0.0000 0.5000 0.1217

Summary:
calculated density: 11.51 g cm⁻³
final energy: -64.713 eV per cell
formation enthalpy at 0 K: -0.68 eV per atom
space group: P-4m2 (115)

---

(8)
NdErPaO6 | PBE | relaxed

abc: 4.6901 5.8716 5.8716
angles: 120.00 90.00 90.00
Fractional positions:
O 0.7464 0.6557 0.6814
O 0.2536 0.6557 0.9743
O 0.2536 0.0257 0.6814
O 0.7464 0.3186 0.9743
O 0.2536 0.3186 0.3443
O 0.7464 0.0257 0.3443
Pa 0.0000 0.3333 0.6667
Er 0.5000 0.0000 0.0000
Nd 0.5000 0.6667 0.3333

Summary:
formation energy from raw total energies: -3.164 eV/atom
calculated density: 7.57 g cm⁻³
final energy: -77.048 eV per cell
space group: P312 (149)

---

(9)
SmGa2I5 | PBE | relaxed

abc: 8.2245 11.9881 8.9318
angles: 65.73 62.59 69.94
Fractional positions:
Ga 0.3158 0.9882 0.3308
Ga 0.5365 0.0791 0.7992
Ga 0.3652 0.4882 0.8308
Ga 0.5852 0.5791 0.2992
I 0.7275 0.3237 0.5919
I 0.5453 0.7434 0.5368
I 0.9785 0.6424 0.0814
I 0.2977 0.1424 0.5814
I 0.3568 0.8237 0.0919
I 0.9229 0.9246 0.5474
I 0.6051 0.4246 0.0474
I 0.1744 0.2434 0.0368
I 0.7970 0.0335 0.0642
I 0.1052 0.5335 0.5642
Sm 0.9511 0.2834 0.8142
Sm 0.9512 0.7834 0.3142

Summary:
formation energy from raw total energies: -0.860 eV/atom
calculated density: 4.39 g cm⁻³
final energy: -50.808 eV per cell
space group: Cc (9)

---

(10)
ZrTa2Al | PBE | relaxed

abc: 2.8898 2.8898 9.0165
angles: 90.00 90.00 90.00
Fractional positions:
Ta 0.5000 0.5000 0.2445
Ta 0.0000 0.0000 0.9860
Al 0.5000 0.5000 0.7613
Zr 0.0000 0.0000 0.5082

Summary:
calculated density: 10.59 g cm⁻³
final energy: -36.166 eV per cell
formation enthalpy at 0 K: -0.04 eV per atom
space group: P4mm (99)

---

(11)
RbCe2Co | PBE | relaxed

abc: 3.9762 3.9762 11.2789
angles: 79.85 79.85 60.00
Fractional positions:
Co 0.5000 0.5000 0.5000
Ce 0.8754 0.8754 0.3738
Ce 0.1246 0.1246 0.6262
Rb 0.0000 0.0000 0.0000

Summary:
calculated density: 4.66 g cm⁻³
final energy: -19.309 eV per cell
formation enthalpy at 0 K: 0.16 eV per atom
space group: R-3m (166)

---

(12)
Dy3Tl2Zn4 | PBE | relaxed

abc: 4.6431 5.8424 8.8361
angles: 112.32 90.00 113.41
Fractional positions:
Zn 0.2801 0.5601 0.9620
Zn 0.0665 0.1331 0.4115
Zn 0.7199 0.4399 0.0380
Zn 0.9335 0.8669 0.5885
Dy 0.6642 0.3283 0.6736
Dy 0.0000 0.0000 0.0000
Dy 0.3358 0.6717 0.3264
Tl 0.3860 0.7721 0.7232
Tl 0.6140 0.2279 0.2768

Summary:
calculated density: 9.60 g cm⁻³
final energy: -26.598 eV per cell
formation enthalpy at 0 K: -0.33 eV per atom
space group: C2/m (12)

---

(13)
PrYZn4 | PBE | relaxed

abc: 4.5014 5.8111 5.8111
angles: 78.50 67.21 67.21
Fractional positions:
Zn 0.6662 0.0920 0.5757
Zn 0.3338 0.4243 0.9080
Zn 0.6662 0.5757 0.0920
Zn 0.3338 0.9080 0.4243
Y 0.0000 0.5000 0.5000
Pr 0.0000 0.0000 0.0000

Summary:
calculated density: 6.33 g cm⁻³
final energy: -18.498 eV per cell
formation enthalpy at 0 K: -0.36 eV per atom
space group: Immm (71)

---

(14)
SrMg2W | PBE | relaxed

abc: 4.1624 3.0691 7.9764
angles: 67.37 90.00 90.00
Fractional positions:
W 0.5000 0.7500 0.7500
Sr 0.5000 0.2500 0.2500
Mg 0.0000 0.4395 0.5588
Mg 0.0000 0.0605 0.9412

Summary:
calculated density: 5.65 g cm⁻³
final energy: -15.263 eV per cell
formation enthalpy at 0 K: 0.64 eV per atom
space group: P2/m (10)

---

(15)
NaYGe2Cl8 | PBE | relaxed

abc: 6.6657 6.2903 8.2884
angles: 89.43 88.59 87.52
Fractional positions:
Cl 0.3162 0.2504 0.9678
Cl 0.8549 0.2505 0.2369
Cl 0.3395 0.2806 0.5304
Cl 0.6838 0.7496 0.0322
Cl 0.1451 0.7495 0.7631
Cl 0.6605 0.7194 0.4696
Cl 0.1867 0.7915 0.2353
Cl 0.8133 0.2085 0.7647
Y 0.0000 0.0000 0.0000
Ge 0.5338 0.5301 0.2562
Ge 0.4662 0.4699 0.7438
Na 0.0000 0.0000 0.5000

Summary:
formation energy from raw total energies: -1.443 eV/atom
calculated density: 2.59 g cm⁻³
final energy: -49.110 eV per cell
space group: P-1 (2)

---

(16)
CaSc2Pb | PBE | relaxed

abc: 3.5988 3.5989 8.5461
angles: 90.00 90.00 89.95
Fractional positions:
Ca 0.0000 0.0000 0.5141
Sc 0.0000 0.0000 0.9966
Sc 0.5000 0.5000 0.2140
Pb 0.5000 0.5000 0.7753

Summary:
calculated density: 5.06 g cm⁻³
final energy: -19.061 eV per cell
formation enthalpy at 0 K: -0.17 eV per atom
space group: P4mm (99)

---

(17)
Tb4PmDy3 | PBE | relaxed

abc: 6.2963 7.2857 11.3389
angles: 90.00 90.00 90.00
Fractional positions:
Tb 0.9809 0.1247 0.2514
Tb 0.4809 0.8753 0.2486
Tb 0.6471 0.1248 0.5000
Tb 0.6488 0.1250 0.0000
Tb 0.9809 0.1247 0.7486
Tb 0.1471 0.8752 0.0000
Tb 0.4809 0.8753 0.7514
Tb 0.1488 0.8750 0.5000
Pm 0.6479 0.6251 0.5000
Pm 0.1479 0.3749 0.0000
Dy 0.6479 0.6251 0.0000
Dy 0.4808 0.3746 0.2500
Dy 0.4808 0.3746 0.7500
Dy 0.9808 0.6254 0.7500
Dy 0.1479 0.3749 0.5000
Dy 0.9808 0.6254 0.2500

Summary:
calculated density: 8.10 g cm⁻³
final energy: -73.938 eV per cell
formation enthalpy at 0 K: 0.01 eV per atom
space group: Pmn2_1 (31)

---

(18)
KS2N4 | PBE | relaxed

abc: 4.3102 19.4952 9.5435
angles: 131.48 50.86 162.96
Fractional positions:
S 0.4868 0.4296 0.9323
S 0.5132 0.5704 0.0677
K 0.0000 0.0000 0.0000
N 0.1623 0.5688 0.5334
N 0.4215 0.9962 0.5711
N 0.5785 0.0038 0.4289
N 0.8377 0.4312 0.4666

Summary:
formation energy from raw total energies: -0.199 eV/atom
calculated density: 1.50 g cm⁻³
final energy: -44.046 eV per cell
space group: P-1 (2)

---

(19)
Pa3PN3 | PBE | relaxed

abc: 6.6989 6.6989 7.6493
angles: 64.03 64.03 60.00
Fractional positions:
Pa 0.5631 0.9073 0.2816
Pa 0.2480 0.5631 0.2816
Pa 0.7520 0.4369 0.7184
Pa 0.9073 0.2480 0.2816
Pa 0.0927 0.7520 0.7184
Pa 0.4369 0.0927 0.7184
N 0.5542 0.2005 0.3722
N 0.1269 0.4458 0.6278
N 0.2005 0.8731 0.3722
N 0.8731 0.5542 0.3722
N 0.4458 0.7995 0.6278
N 0.7995 0.1269 0.6278
P 0.6665 0.6665 0.0005
P 0.3335 0.3335 0.9995

Summary:
formation energy from raw total energies: -1.541 eV/atom
calculated density: 9.92 g cm⁻³
final energy: -139.324 eV per cell
space group: R-3 (148)

---

(20)
MgHgOs2 | PBE | relaxed

abc: 4.6913 4.6913 4.6913
angles: 126.23 126.23 79.51
Fractional positions:
Hg 0.5000 0.5000 0.0000
Os 0.0000 0.0000 0.0000
Os 0.2500 0.7500 0.5000
Mg 0.7500 0.2500 0.5000

Summary:
calculated density: 15.48 g cm⁻³
final energy: -21.995 eV per cell
formation enthalpy at 0 K: 0.59 eV per atom
space group: I-4m2 (119)

---

(21)
ScIrBr | PBE | relaxed

abc: 4.4522 4.4522 3.2094
angles: 90.00 90.00 120.00
Fractional positions:
Br 0.0000 0.0000 0.1519
Ir 0.6667 0.3333 0.1804
Sc 0.3333 0.6667 0.6677

Summary:
formation energy from raw total energies: -0.208 eV/atom
calculated density: 9.56 g cm⁻³
final energy: -17.489 eV per cell
space group: P3m1 (156)